# 1
AcThTlAu | GGA-PBE | optimized geometry

Summary:
Electronic total energy: -73.9 eV/cell
Energy relative to the elements: -1.30 eV per formula unit

CIF file:
```
data_AcThTlAu
_chemical_formula_sum 'Ac4 Th4 Tl4 Au4'
_cell_length_a 7.8291
_cell_length_b 7.8291
_cell_length_c 7.8291
_cell_angle_alpha 90.00
_cell_angle_beta 90.00
_cell_angle_gamma 90.00
_space_group_name_H-M_alt 'F -4 3 m'
_space_group_IT_number 216
_space_group_name_Hall 'F -4 2 3'
loop_
_atom_site_label
_atom_site_type_symbol
_atom_site_fract_x
_atom_site_fract_y
_atom_site_fract_z
Ac1 Ac 0.0000 0.0000 0.0000
Th1 Th 0.0000 0.0000 0.5000
Tl1 Tl 0.2500 0.2500 0.7500
Au1 Au 0.2500 0.2500 0.2500
```

=====

# 2
Al2NiHPd | GGA-PBE | optimized geometry

Summary:
Electronic total energy: -24.2 eV/cell

CIF file:
```
data_Al2NiHPd
_chemical_formula_sum 'Al2 Ni1 H1 Pd1'
_cell_length_a 4.2145
_cell_length_b 4.2145
_cell_length_c 3.1964
_cell_angle_alpha 90.00
_cell_angle_beta 90.00
_cell_angle_gamma 90.00
_space_group_name_H-M_alt 'P 4/m m m'
_space_group_IT_number 123
_space_group_name_Hall '-P 4 2'
loop_
_atom_site_label
_atom_site_type_symbol
_atom_site_fract_x
_atom_site_fract_y
_atom_site_fract_z
Al1 Al 0.0000 0.5000 0.0000
Ni1 Ni 0.0000 0.0000 0.5000
H1 H 0.0000 0.0000 0.0000
Pd1 Pd 0.5000 0.5000 0.5000
```

=====

# 3
LiCa2Tl | GGA-PBE | optimized geometry

Summary:
Electronic total energy: -18.0 eV/cell
Energy relative to the elements: -0.74 eV per formula unit
ΔE to the lowest computed polymorph: 0.43 eV/f.u.

CIF file:
```
data_LiCa2Tl
_chemical_formula_sum 'Li2 Ca4 Tl2'
_cell_length_a 5.3222
_cell_length_b 5.3222
_cell_length_c 7.6168
_cell_angle_alpha 90.00
_cell_angle_beta 90.00
_cell_angle_gamma 90.00
_space_group_name_H-M_alt 'I -4 m 2'
_space_group_IT_number 119
_space_group_name_Hall 'I -4 -2'
loop_
_atom_site_label
_atom_site_type_symbol
_atom_site_fract_x
_atom_site_fract_y
_atom_site_fract_z
Li1 Li 0.0000 0.0000 0.0000
Ca1 Ca 0.0000 0.0000 0.5000
Ca2 Ca 0.0000 0.5000 0.2500
Tl1 Tl 0.0000 0.5000 0.7500
```